Computed, not measured: a relaxed Zr3InS crystal at the PBE-GGA level of DFT.

Calculated values
Density   6.55 g/cm3
Energy relative to the elements, uncorrected   -73.9 kJ per mole of atoms

Structure (CIF):
```
data_Zr3InS
_cell_length_a 14.094
_cell_length_b 3.642
_cell_length_c 8.340
_cell_angle_alpha 90.00
_cell_angle_beta 95.34
_cell_angle_gamma 90.00
_symmetry_space_group_name_H-M 'C 1 2/m 1'
_symmetry_Int_Tables_number 12
_symmetry_space_group_name_Hall '-C 2y'
loop_
_atom_site_label
_atom_site_type_symbol
_atom_site_fract_x
_atom_site_fract_y
_atom_site_fract_z
Zr1 Zr 0.035 0.000 0.253
Zr2 Zr 0.121 0.500 0.950
Zr3 Zr 0.245 0.500 0.337
In1 In 0.095 0.500 0.564
S1 S 0.197 0.000 0.135
```